# CaEuGaSn

CaEuGaSn after structural relaxation (PBE-GGA, Alexandria).

Values from the calculation:
- Electronic total energy: -0.1972 hartree per atom
- Formation energy: -2.2 eV/f.u.
- Crystal system: cubic
- Symmetry: F-43m, No. 216

Unit cell a=5.398 b=5.398 c=5.398 alpha=60.00 beta=60.00 gamma=60.00
Sites, in units of the cell vectors:
Eu (0.250, 0.250, 0.250)
Ca (0.750, 0.750, 0.750)
Sn (0.500, 0.500, 0.500)
Ga (0.000, 0.000, 0.000)